Computed, not measured: crystalline KSrGd at its relaxed geometry at the PBE level of DFT.

## Properties
The magnetization is 0.264 μB/atom. The value obtained for the total energy is -1.51 eV/atom.

a b c (Å): 6.1884 6.1884 6.1884
angles (deg): 60.00 60.00 60.00
With the nearest neighbours (Å) after each atom.
Element x y z (fractional)
K 0.0000 0.0000 0.0000  4 Gd 3.79, 4 Sr 3.79
Sr 0.2500 0.2500 0.2500  4 K 3.79
Gd 0.7500 0.7500 0.7500  4 K 3.79